[1]
Compound: Pr8As4P3Cl
Source: Alexandria
Functional: GGA-PBE
Structure: relaxed

Results
Symmetry: No. 166

a = 8.4940 Å, b = 8.4940 Å, c = 8.4940 Å
α = 60.11°, β = 60.11°, γ = 60.11°
Element x y z (fractional)
Pr (0.2401, 0.7549, 0.7549)
Pr (0.2451, 0.2451, 0.7599)
Pr (0.2451, 0.7599, 0.2451)
Pr (0.2479, 0.2479, 0.2479)
Pr (0.7521, 0.7521, 0.7521)
Pr (0.7549, 0.2401, 0.7549)
Pr (0.7549, 0.7549, 0.2401)
Pr (0.7599, 0.2451, 0.2451)
As (0.0000, 0.0000, 0.0000)
As (0.0000, 0.5000, 0.5000)
As (0.5000, 0.0000, 0.5000)
As (0.5000, 0.5000, 0.0000)
P (0.0000, 0.0000, 0.5000)
P (0.0000, 0.5000, 0.0000)
P (0.5000, 0.0000, 0.0000)
Cl (0.5000, 0.5000, 0.5000)

***

[2]
Compound: Pr4AsPCl2
Source: Alexandria
Functional: GGA-PBE
Structure: relaxed

Results
Symmetry: No. 10

a = 7.3504 Å, b = 4.2175 Å, c = 7.3911 Å
α = 90.00°, β = 109.36°, γ = 90.00°
Element x y z (fractional)
Pr (0.2280, 0.0000, 0.2174)
Pr (0.2466, 0.5000, 0.7792)
Pr (0.7534, 0.5000, 0.2208)
Pr (0.7720, 0.0000, 0.7826)
As (0.5000, 0.0000, 0.0000)
P (0.0000, 0.5000, 0.0000)
Cl (0.0000, 0.0000, 0.5000)
Cl (0.5000, 0.5000, 0.5000)

***

[3]
Compound: Pr4AsP2Cl
Source: Alexandria
Functional: GGA-PBE
Structure: relaxed

Results
Symmetry: No. 10

a = 7.2823 Å, b = 4.2058 Å, c = 7.3824 Å
α = 90.00°, β = 109.07°, γ = 90.00°
Element x y z (fractional)
Pr (0.2336, 0.0000, 0.2270)
Pr (0.2475, 0.5000, 0.7639)
Pr (0.7525, 0.5000, 0.2361)
Pr (0.7664, 0.0000, 0.7730)
As (0.0000, 0.0000, 0.5000)
P (0.0000, 0.5000, 0.0000)
P (0.5000, 0.0000, 0.0000)
Cl (0.5000, 0.5000, 0.5000)

***

[4]
Compound: Pr6As2P3Cl
Source: Alexandria
Functional: GGA-PBE
Structure: relaxed

Results
Symmetry: No. 12

a = 9.4900 Å, b = 9.4900 Å, c = 8.5234 Å
α = 103.40°, β = 103.40°, γ = 25.72°
Element x y z (fractional)
Pr (0.0022, 0.0022, 0.2298)
Pr (0.3269, 0.3269, 0.4183)
Pr (0.3340, 0.3340, 0.9144)
Pr (0.6660, 0.6660, 0.0856)
Pr (0.6731, 0.6731, 0.5817)
Pr (0.9978, 0.9978, 0.7702)
As (0.1646, 0.1646, 0.8283)
As (0.8354, 0.8354, 0.1717)
P (0.1652, 0.1652, 0.3343)
P (0.5000, 0.5000, 0.0000)
P (0.8348, 0.8348, 0.6657)
Cl (0.5000, 0.5000, 0.5000)

***

[5]
Compound: AsPPtCl2
Source: Alexandria
Functional: GGA-PBE
Structure: relaxed

Results
Energy above the most stable polymorph in this dataset (meV/atom): 0.0
Symmetry: No. 123

a = 4.8194 Å, b = 4.8194 Å, c = 4.7200 Å
α = 90.00°, β = 90.00°, γ = 90.00°
Element x y z (fractional)
As (0.0000, 0.0000, 0.0000)
P (0.5000, 0.5000, 0.0000)
Pt (0.5000, 0.5000, 0.5000)
Cl (0.0000, 0.5000, 0.5000)
Cl (0.5000, 0.0000, 0.5000)

***

[6]
Compound: AsPPtCl2
Source: Alexandria
Functional: GGA-PBE
Structure: relaxed

Results
Energy above the most stable polymorph in this dataset (meV/atom): 325.7
Symmetry: No. 123

a = 4.6304 Å, b = 4.6304 Å, c = 5.3375 Å
α = 90.00°, β = 90.00°, γ = 90.00°
Element x y z (fractional)
As (0.0000, 0.0000, 0.0000)
P (0.0000, 0.0000, 0.5000)
Pt (0.5000, 0.5000, 0.5000)
Cl (0.0000, 0.5000, 0.0000)
Cl (0.5000, 0.0000, 0.0000)

***

[7]
Compound: Pu6As3P2Cl
Source: Alexandria
Functional: GGA-PBE
Structure: relaxed

Results
Symmetry: No. 12

a = 8.6591 Å, b = 8.6591 Å, c = 9.0140 Å
α = 104.76°, β = 104.76°, γ = 24.90°
Element x y z (fractional)
Pu (0.0014, 0.0014, 0.2436)
Pu (0.1603, 0.1603, 0.0858)
Pu (0.1743, 0.1743, 0.5793)
Pu (0.8257, 0.8257, 0.4207)
Pu (0.8397, 0.8397, 0.9142)
Pu (0.9986, 0.9986, 0.7564)
As (0.3390, 0.3390, 0.1722)
As (0.5000, 0.5000, 0.0000)
As (0.6610, 0.6610, 0.8278)
P (0.3441, 0.3441, 0.6697)
P (0.6559, 0.6559, 0.3303)
Cl (0.5000, 0.5000, 0.5000)

***

[8]
Compound: RbAsP2Cl
Source: Alexandria
Functional: GGA-PBE
Structure: relaxed

Results
Energy above the most stable polymorph in this dataset (meV/atom): 1296.7
Symmetry: No. 123

a = 7.0211 Å, b = 7.0211 Å, c = 5.8870 Å
α = 90.00°, β = 90.00°, γ = 90.00°
Element x y z (fractional)
Rb (0.0000, 0.0000, 0.0000)
As (0.5000, 0.5000, 0.5000)
P (0.0000, 0.5000, 0.0000)
P (0.5000, 0.0000, 0.0000)
Cl (0.0000, 0.0000, 0.5000)

***

[9]
Compound: RbAsP2Cl
Source: Alexandria
Functional: GGA-PBE
Structure: relaxed

Results
Energy above the most stable polymorph in this dataset (meV/atom): 0.0
Symmetry: No. 123

a = 4.6611 Å, b = 4.6611 Å, c = 7.1054 Å
α = 90.00°, β = 90.00°, γ = 90.00°
Element x y z (fractional)
Rb (0.0000, 0.0000, 0.0000)
As (0.5000, 0.5000, 0.5000)
P (0.0000, 0.5000, 0.5000)
P (0.5000, 0.0000, 0.5000)
Cl (0.5000, 0.5000, 0.0000)

***

[10]
Compound: ReAsP2Cl
Source: Alexandria
Functional: GGA-PBE
Structure: relaxed

Results
Energy above the most stable polymorph in this dataset (meV/atom): 0.0
Symmetry: No. 123

a = 4.6108 Å, b = 4.6108 Å, c = 4.9342 Å
α = 90.00°, β = 90.00°, γ = 90.00°
Element x y z (fractional)
Re (0.0000, 0.0000, 0.0000)
As (0.5000, 0.5000, 0.5000)
P (0.0000, 0.5000, 0.0000)
P (0.5000, 0.0000, 0.0000)
Cl (0.0000, 0.0000, 0.5000)

***

[11]
Compound: ReAsP2Cl
Source: Alexandria
Functional: GGA-PBE
Structure: relaxed

Results
Energy above the most stable polymorph in this dataset (meV/atom): 832.6
Symmetry: No. 123

a = 4.7737 Å, b = 4.7737 Å, c = 4.6210 Å
α = 90.00°, β = 90.00°, γ = 90.00°
Element x y z (fractional)
Re (0.0000, 0.0000, 0.0000)
As (0.5000, 0.5000, 0.5000)
P (0.0000, 0.5000, 0.5000)
P (0.5000, 0.0000, 0.5000)
Cl (0.5000, 0.5000, 0.0000)

***

[12]
Compound: AsPRhCl2
Source: Alexandria
Functional: GGA-PBE
Structure: relaxed

Results
Energy above the most stable polymorph in this dataset (meV/atom): 0.0
Symmetry: No. 123

a = 4.7055 Å, b = 4.7055 Å, c = 4.6970 Å
α = 90.00°, β = 90.00°, γ = 90.00°
Element x y z (fractional)
As (0.0000, 0.0000, 0.0000)
P (0.5000, 0.5000, 0.0000)
Rh (0.5000, 0.5000, 0.5000)
Cl (0.0000, 0.5000, 0.5000)
Cl (0.5000, 0.0000, 0.5000)

***

[13]
Compound: AsPRhCl2
Source: Alexandria
Functional: GGA-PBE
Structure: relaxed

Results
Energy above the most stable polymorph in this dataset (meV/atom): 436.4
Symmetry: No. 123

a = 4.7517 Å, b = 4.7517 Å, c = 5.1272 Å
α = 90.00°, β = 90.00°, γ = 90.00°
Element x y z (fractional)
As (0.0000, 0.0000, 0.0000)
P (0.0000, 0.0000, 0.5000)
Rh (0.5000, 0.5000, 0.5000)
Cl (0.0000, 0.5000, 0.0000)
Cl (0.5000, 0.0000, 0.0000)

***

[14]
Compound: AsP2RuCl
Source: Alexandria
Functional: GGA-PBE
Structure: relaxed

Results
Energy above the most stable polymorph in this dataset (meV/atom): 704.4
Symmetry: No. 123

a = 4.7266 Å, b = 4.7266 Å, c = 4.7441 Å
α = 90.00°, β = 90.00°, γ = 90.00°
Element x y z (fractional)
As (0.0000, 0.0000, 0.0000)
P (0.0000, 0.5000, 0.0000)
P (0.5000, 0.0000, 0.0000)
Ru (0.5000, 0.5000, 0.5000)
Cl (0.0000, 0.0000, 0.5000)

***

[15]
Compound: AsP2RuCl
Source: Alexandria
Functional: GGA-PBE
Structure: relaxed

Results
Energy above the most stable polymorph in this dataset (meV/atom): 0.0
Symmetry: No. 123

a = 4.5583 Å, b = 4.5583 Å, c = 4.8152 Å
α = 90.00°, β = 90.00°, γ = 90.00°
Element x y z (fractional)
As (0.0000, 0.0000, 0.0000)
P (0.0000, 0.5000, 0.5000)
P (0.5000, 0.0000, 0.5000)
Ru (0.5000, 0.5000, 0.5000)
Cl (0.5000, 0.5000, 0.0000)

***

[16]
Compound: AsPS2Cl
Source: Alexandria
Functional: GGA-PBE
Structure: relaxed

Results
Energy above the most stable polymorph in this dataset (meV/atom): 258.4
Symmetry: No. 123

a = 4.8546 Å, b = 4.8546 Å, c = 4.7412 Å
α = 90.00°, β = 90.00°, γ = 90.00°
Element x y z (fractional)
As (0.0000, 0.0000, 0.0000)
P (0.5000, 0.5000, 0.5000)
S (0.0000, 0.5000, 0.0000)
S (0.5000, 0.0000, 0.0000)
Cl (0.0000, 0.0000, 0.5000)

***

[17]
Compound: AsPS2Cl
Source: Alexandria
Functional: GGA-PBE
Structure: relaxed

Results
Energy above the most stable polymorph in this dataset (meV/atom): 818.6
Symmetry: No. 123

a = 4.6443 Å, b = 4.6443 Å, c = 4.6567 Å
α = 90.00°, β = 90.00°, γ = 90.00°
Element x y z (fractional)
As (0.0000, 0.0000, 0.0000)
P (0.5000, 0.5000, 0.0000)
S (0.0000, 0.5000, 0.5000)
S (0.5000, 0.0000, 0.5000)
Cl (0.5000, 0.5000, 0.5000)

***

[18]
Compound: AsPS2Cl
Source: Alexandria
Functional: GGA-PBE
Structure: relaxed

Results
Energy above the most stable polymorph in this dataset (meV/atom): 323.9
Symmetry: No. 123

a = 4.6216 Å, b = 4.6216 Å, c = 5.1725 Å
α = 90.00°, β = 90.00°, γ = 90.00°
Element x y z (fractional)
As (0.0000, 0.0000, 0.0000)
P (0.0000, 0.0000, 0.5000)
S (0.0000, 0.5000, 0.0000)
S (0.5000, 0.0000, 0.0000)
Cl (0.5000, 0.5000, 0.5000)

***

[19]
Compound: AsPS2Cl
Source: Alexandria
Functional: GGA-PBE
Structure: relaxed

Results
Energy above the most stable polymorph in this dataset (meV/atom): 0.0
Symmetry: No. 123

a = 4.6299 Å, b = 4.6299 Å, c = 4.5086 Å
α = 90.00°, β = 90.00°, γ = 90.00°
Element x y z (fractional)
As (0.0000, 0.0000, 0.0000)
P (0.5000, 0.5000, 0.5000)
S (0.0000, 0.5000, 0.5000)
S (0.5000, 0.0000, 0.5000)
Cl (0.5000, 0.5000, 0.0000)

***

[20]
Compound: SbAsPCl2
Source: Alexandria
Functional: GGA-PBE
Structure: relaxed

Results
Energy above the most stable polymorph in this dataset (meV/atom): 216.3
Symmetry: No. 123

a = 5.1035 Å, b = 5.1035 Å, c = 5.5470 Å
α = 90.00°, β = 90.00°, γ = 90.00°
Element x y z (fractional)
Sb (0.0000, 0.0000, 0.0000)
As (0.5000, 0.5000, 0.5000)
P (0.0000, 0.0000, 0.5000)
Cl (0.0000, 0.5000, 0.0000)
Cl (0.5000, 0.0000, 0.0000)

***

[21]
Compound: SbAsPCl2
Source: Alexandria
Functional: GGA-PBE
Structure: relaxed

Results
Energy above the most stable polymorph in this dataset (meV/atom): 80.0
Symmetry: No. 123

a = 4.8121 Å, b = 4.8121 Å, c = 5.2597 Å
α = 90.00°, β = 90.00°, γ = 90.00°
Element x y z (fractional)
Sb (0.0000, 0.0000, 0.0000)
As (0.5000, 0.5000, 0.5000)
P (0.5000, 0.5000, 0.0000)
Cl (0.0000, 0.5000, 0.5000)
Cl (0.5000, 0.0000, 0.5000)

***

[22]
Compound: SbAsPCl13
Source: Alexandria
Functional: GGA-PBE
Structure: relaxed

Results
Symmetry: No. 36

a = 9.8473 Å, b = 9.8473 Å, c = 12.2285 Å
α = 90.00°, β = 90.00°, γ = 113.03°
Element x y z (fractional)
Sb (0.2150, 0.7850, 0.5000)
Sb (0.7850, 0.2150, 0.0000)
As (0.4354, 0.5646, 0.6421)
As (0.5646, 0.4354, 0.1421)
P (0.1394, 0.8606, 0.9615)
P (0.8606, 0.1394, 0.4615)
Cl (0.0060, 0.6789, 0.3813)
Cl (0.0633, 0.2306, 0.4073)
Cl (0.0908, 0.9092, 0.6050)
Cl (0.1122, 0.5730, 0.6226)
Cl (0.1389, 0.8611, 0.1218)
Cl (0.2306, 0.0633, 0.9073)
Cl (0.2520, 0.7480, 0.9102)
Cl (0.3211, 0.9940, 0.3813)
Cl (0.3239, 0.3650, 0.1144)
Cl (0.3442, 0.6558, 0.4032)
Cl (0.3650, 0.3239, 0.6145)
Cl (0.4270, 0.8878, 0.6226)
Cl (0.4379, 0.5621, 0.8250)
Cl (0.5621, 0.4379, 0.3250)
Cl (0.5730, 0.1122, 0.1226)
Cl (0.6350, 0.6761, 0.1144)
Cl (0.6558, 0.3442, 0.9032)
Cl (0.6761, 0.6350, 0.6145)
Cl (0.6789, 0.0060, 0.8813)
Cl (0.7480, 0.2520, 0.4102)
Cl (0.7694, 0.9367, 0.4073)
Cl (0.8611, 0.1389, 0.6218)
Cl (0.8878, 0.4270, 0.1226)
Cl (0.9092, 0.0908, 0.1050)
Cl (0.9367, 0.7694, 0.9073)
Cl (0.9940, 0.3211, 0.8813)

***

[23]
Compound: SbAsPCl2
Source: Alexandria
Functional: GGA-PBE
Structure: relaxed

Results
Energy above the most stable polymorph in this dataset (meV/atom): 0.0
Symmetry: No. 123

a = 4.5683 Å, b = 4.5683 Å, c = 5.8447 Å
α = 90.00°, β = 90.00°, γ = 90.00°
Element x y z (fractional)
Sb (0.0000, 0.0000, 0.0000)
As (0.5000, 0.5000, 0.0000)
P (0.0000, 0.0000, 0.5000)
Cl (0.0000, 0.5000, 0.5000)
Cl (0.5000, 0.0000, 0.5000)

***

[24]
Compound: ScAsPCl2
Source: Alexandria
Functional: GGA-PBE
Structure: relaxed

Results
Energy above the most stable polymorph in this dataset (meV/atom): 0.0
Symmetry: No. 123

a = 4.7608 Å, b = 4.7608 Å, c = 5.6133 Å
α = 90.00°, β = 90.00°, γ = 90.00°
Element x y z (fractional)
Sc (0.0000, 0.0000, 0.0000)
As (0.5000, 0.5000, 0.5000)
P (0.0000, 0.0000, 0.5000)
Cl (0.0000, 0.5000, 0.0000)
Cl (0.5000, 0.0000, 0.0000)

***

[25]
Compound: ScAsPCl2
Source: Alexandria
Functional: GGA-PBE
Structure: relaxed

Results
Energy above the most stable polymorph in this dataset (meV/atom): 477.5
Symmetry: No. 123

a = 4.8607 Å, b = 4.8607 Å, c = 4.9919 Å
α = 90.00°, β = 90.00°, γ = 90.00°
Element x y z (fractional)
Sc (0.0000, 0.0000, 0.0000)
As (0.5000, 0.5000, 0.5000)
P (0.5000, 0.5000, 0.0000)
Cl (0.0000, 0.5000, 0.5000)
Cl (0.5000, 0.0000, 0.5000)

***

[26]
Compound: AsPSeCl2
Source: Alexandria
Functional: GGA-PBE
Structure: relaxed

Results
Energy above the most stable polymorph in this dataset (meV/atom): 133.2
Symmetry: No. 123

a = 4.7138 Å, b = 4.7138 Å, c = 5.4861 Å
α = 90.00°, β = 90.00°, γ = 90.00°
Element x y z (fractional)
As (0.0000, 0.0000, 0.0000)
P (0.0000, 0.0000, 0.5000)
Se (0.5000, 0.5000, 0.5000)
Cl (0.0000, 0.5000, 0.0000)
Cl (0.5000, 0.0000, 0.0000)

***

| no. | formation energy without anion corrections (meV per atom) |
| --- | --- |
| 1 | -1559 |
| 2 | -1578 |
| 3 | -1600 |
| 4 | -1580 |
| 5 | 506 |
| 6 | 832 |
| 7 | -905 |
| 8 | 1341 |
| 9 | 44 |
| 10 | 702 |
| 11 | 1534 |
| 12 | 412 |
| 13 | 848 |
| 14 | 1299 |
| 15 | 595 |
| 16 | 786 |
| 17 | 1346 |
| 18 | 851 |
| 19 | 527 |
| 20 | 472 |
| 21 | 336 |
| 22 | -693 |
| 23 | 256 |
| 24 | -452 |
| 25 | 25 |
| 26 | 470 |